First-principles (PBE) data for a relaxed Ce3SiI crystal, as listed in Alexandria.

Cell and atoms, written as CIF:
```
data_Ce3SiI
_symmetry_space_group_name_H-M 'P m m n'
_symmetry_Int_Tables_number 59
_cell_length_a 4.052
_cell_length_b 8.371
_cell_length_c 8.894
_cell_angle_alpha 90.00
_cell_angle_beta 90.00
_cell_angle_gamma 90.00
loop_
_symmetry_equiv_pos_as_xyz
'x,y,z'
'-x,-y,-z'
'-x+1/2,-y+1/2,z'
'x+1/2,y+1/2,-z'
'x+1/2,-y,-z'
'-x+1/2,y,z'
'-x,y+1/2,-z'
'x,-y+1/2,z'
loop_
_atom_site_label
_atom_site_fract_x
_atom_site_fract_y
_atom_site_fract_z
Ce1 0.250 0.087 0.155
Ce2 0.250 0.250 0.728
Si1 0.250 0.750 0.036
I1 0.250 0.750 0.575
```

The formation energy without anion corrections comes out at -0.497 eV/atom.